! CuGe3N | Alexandria | PBE | optimized geometry; values from VASP
&SYSTEM
  ibrav = 0, nat = 5, ntyp = 3
/
ATOMIC_SPECIES
Cu 63.55 Cu.upf
Ge 72.64 Ge.upf
N 14.01 N.upf
CELL_PARAMETERS angstrom
4.563 0.000 0.000
0.000 4.563 0.000
0.000 0.000 4.563
ATOMIC_POSITIONS crystal
Cu 0.000 0.000 0.000
Ge 0.000 0.000 0.500
Ge 0.000 0.500 0.000
Ge 0.500 0.000 0.000
N 0.500 0.500 0.500
! total energy: -3.90 eV/atom
! SG: No. 221
! mass density: 5.164 g cm⁻³
! offset from the most stable computed form: 0.601 eV per atom
! formation energy (no corrections): 1359 meV/atom

=====

! CeDy2Ir2 | Alexandria | PBE | optimized geometry; values from VASP
&SYSTEM
  ibrav = 0, nat = 10, ntyp = 3
/
ATOMIC_SPECIES
Ce 140.12 Ce.upf
Dy 162.50 Dy.upf
Ir 192.22 Ir.upf
CELL_PARAMETERS angstrom
2.227 -8.370 0.000
2.227 8.370 0.000
0.000 0.000 6.525
ATOMIC_POSITIONS crystal
Ce 0.114 0.886 0.500
Ce 0.886 0.114 0.000
Dy 0.309 0.691 0.372
Dy 0.470 0.530 0.678
Dy 0.530 0.470 0.178
Dy 0.691 0.309 0.872
Ir 0.055 0.945 0.881
Ir 0.308 0.692 0.871
Ir 0.692 0.308 0.371
Ir 0.945 0.055 0.381
! total energy: -7.15 eV/atom
! SG: No. 36
! mass density: 11.595 g cm⁻³
! formation enthalpy at 0 K: -281 kJ/mol of formula units